Here is a geometry-optimized Sr3CdW structure from Alexandria. Energies are from PBE.

Unit cell a=6.1406 b=6.1406 c=6.1406 alpha=90.00 beta=90.00 gamma=90.00
Last column: nearest neighbours and their distance in Å.
Space group Pm-3m (No. 221)
Inequivalent atoms, fractional coordinates:
Sr 0.0000 0.0000 0.5000  2 Cd 3.07
Cd 0.0000 0.0000 0.0000  6 Sr 3.07
W 0.5000 0.5000 0.5000  12 Sr 4.34

Calculated values
- E (eV/atom) = -2.588